[1]
# Cs2LaInS4 (PBE-GGA, optimized geometry)
data_Cs2LaInS4
_chemical_formula_sum 'Cs4 La2 In2 S8'
_space_group_name_H-M_alt 'P 1'
_space_group_IT_number 1
_cell_length_a 8.852
_cell_length_b 8.852
_cell_length_c 8.852
_cell_angle_alpha 121.68
_cell_angle_beta 119.24
_cell_angle_gamma 89.22
loop_
_space_group_symop_operation_xyz
'x,y,z'
loop_
_atom_site_label
_atom_site_type_symbol
_atom_site_fract_x
_atom_site_fract_y
_atom_site_fract_z
_atom_site_occupancy
Cs1 Cs 0.000 0.000 0.000 1
Cs2 Cs 0.500 0.000 0.000 1
Cs3 Cs 0.500 0.000 0.500 1
Cs4 Cs 0.500 0.500 0.500 1
La1 La 0.000 0.500 0.500 1
La2 La 0.500 0.500 0.000 1
In1 In 0.000 0.000 0.500 1
In2 In 0.000 0.500 0.000 1
S1 S 0.182 0.736 0.447 1
S2 S 0.211 0.264 0.947 1
S3 S 0.226 0.263 0.537 1
S4 S 0.226 0.688 0.963 1
S5 S 0.774 0.312 0.037 1
S6 S 0.774 0.737 0.463 1
S7 S 0.789 0.736 0.053 1
S8 S 0.818 0.264 0.553 1
# Volume (Å³/cell): 486.8
# SG: No. 74
# Total magnetization (μB per cell): 0.0
# Formation energy from raw total energies (eV/atom): -1.229

***

[2]
# Cs3La3InS8 (PBE-GGA, optimized geometry)
data_Cs3La3InS8
_chemical_formula_sum 'Cs3 La3 In1 S8'
_space_group_name_H-M_alt 'P 1'
_space_group_IT_number 1
_cell_length_a 9.533
_cell_length_b 9.533
_cell_length_c 9.533
_cell_angle_alpha 52.95
_cell_angle_beta 52.95
_cell_angle_gamma 52.95
loop_
_space_group_symop_operation_xyz
'x,y,z'
loop_
_atom_site_label
_atom_site_type_symbol
_atom_site_fract_x
_atom_site_fract_y
_atom_site_fract_z
_atom_site_occupancy
Cs1 Cs 0.000 0.500 0.500 1
Cs2 Cs 0.500 0.000 0.500 1
Cs3 Cs 0.500 0.500 0.000 1
La1 La 0.000 0.000 0.500 1
La2 La 0.000 0.500 0.000 1
La3 La 0.500 0.000 0.000 1
In1 In 0.500 0.500 0.500 1
S1 S 0.229 0.229 0.229 1
S2 S 0.246 0.716 0.716 1
S3 S 0.284 0.284 0.754 1
S4 S 0.284 0.754 0.284 1
S5 S 0.716 0.246 0.716 1
S6 S 0.716 0.716 0.246 1
S7 S 0.754 0.284 0.284 1
S8 S 0.771 0.771 0.771 1
# Volume (Å³/cell): 511.4
# SG: No. 166
# Total magnetization (μB per cell): 1.0
# Formation energy from raw total energies (eV/atom): -1.501